Record 1
Entry from Alexandria via LeMat-Bulk: Er2In2Pb after structural relaxation (PBE-GGA).

E, eV/atom: -3.9973
Crystal system: tetragonal

a = 7.8105 Å, b = 7.8105 Å, c = 4.5263 Å
α = 90.00°, β = 90.00°, γ = 90.00°
With the nearest neighbours (Å) after each atom.
Space group P4/mbm (No. 127)
Symmetry-distinct sites (fractional):
Er (0.1680, 0.3320, 0.0000) [4 per cell]  6 In 3.18-3.26
In (0.1302, 0.6302, 0.5000) [4 per cell]  1 In 2.88, 2 Pb 3.06, 2 Er 3.18
Pb (0.0000, 0.0000, 0.5000) [2 per cell]  4 In 3.06

---

Record 2
Entry from Alexandria via LeMat-Bulk: ErInPb after structural relaxation (PBE-GGA).

E, eV/atom: -3.8822
Crystal system: trigonal

a = 5.2429 Å, b = 5.2429 Å, c = 3.4820 Å
α = 90.00°, β = 90.00°, γ = 120.00°
With the nearest neighbours (Å) after each atom.
Space group P3m1 (No. 156)
Symmetry-distinct sites (fractional):
Er (0.0000, 0.0000, 0.0000) [1 per cell]  6 In 3.31-3.70, 6 Pb 3.33-3.68, 2 Er 3.48
In (0.3333, 0.6667, 0.3870) [1 per cell]  3 Pb 3.12, 3 Er 3.31, 2 In 3.48
Pb (0.6667, 0.3333, 0.6019) [1 per cell]  3 In 3.12, 3 Er 3.33, 2 Pb 3.48

---

Record 3
Entry from Alexandria via LeMat-Bulk: Er6InPb after structural relaxation (PBE-GGA).

E, eV/atom: -4.1428
Crystal system: monoclinic

a = 6.9384 Å, b = 12.0400 Å, c = 6.9430 Å
α = 90.00°, β = 118.42°, γ = 90.00°
With the nearest neighbours (Å) after each atom.
Space group C2/m (No. 12)
Symmetry-distinct sites (fractional):
Er (0.2492, 0.0000, 0.2477) [4 per cell]  1 In 2.97, 1 Pb 2.99
Er (0.2503, 0.2098, 0.7536) [8 per cell]  1 In 3.08, 1 Pb 3.10
In (0.0000, 0.5000, 0.0000) [2 per cell]  6 Er 2.97-3.08
Pb (0.0000, 0.0000, 0.5000) [2 per cell]  6 Er 2.99-3.10

---

Record 4
Entry from Alexandria via LeMat-Bulk: ErInPb2 after structural relaxation (PBE-GGA).

E, eV/atom: -3.8592
Crystal system: tetragonal

a = 4.1431 Å, b = 4.1431 Å, c = 6.6322 Å
α = 90.00°, β = 90.00°, γ = 90.00°
With the nearest neighbours (Å) after each atom.
Space group P4/mmm (No. 123)
Symmetry-distinct sites (fractional):
Er (0.0000, 0.0000, 0.0000) [1 per cell]  2 In 3.32, 8 Pb 3.36
In (0.0000, 0.0000, 0.5000) [1 per cell]  2 Er 3.32, 8 Pb 3.38
Pb (0.5000, 0.5000, 0.2472) [2 per cell]  2 Pb 3.28-3.35, 4 Er 3.36, 4 In 3.38

---

Record 5
Entry from Alexandria via LeMat-Bulk: Er2InPb after structural relaxation (PBE-GGA).

E, eV/atom: -4.2098
Crystal system: trigonal

a = 3.6481 Å, b = 3.6481 Å, c = 29.6120 Å
α = 90.00°, β = 90.00°, γ = 120.00°
With the nearest neighbours (Å) after each atom.
Space group R-3m (No. 166, hexagonal axes)
Symmetry-distinct sites (fractional):
Er (0.0000, 0.0000, 0.2474) [6 per cell]  3 In 3.19, 3 Pb 3.30
In (0.0000, 0.0000, 0.5000) [3 per cell]  6 Er 3.19
Pb (0.0000, 0.0000, 0.0000) [3 per cell]  6 Er 3.30, 6 Pb 3.65

---

Record 6
Entry from Alexandria via LeMat-Bulk: ErIn2Pb after structural relaxation (PBE-GGA).

E, eV/atom: -3.5578
Crystal system: cubic

a = 7.6561 Å, b = 7.6561 Å, c = 7.6561 Å
α = 90.00°, β = 90.00°, γ = 90.00°
With the nearest neighbours (Å) after each atom.
Space group Fm-3m (No. 225)
Symmetry-distinct sites (fractional):
Er (0.0000, 0.0000, 0.0000) [4 per cell]  8 In 3.32
In (0.2500, 0.2500, 0.2500) [8 per cell]  4 Pb 3.32, 4 Er 3.32
Pb (0.0000, 0.0000, 0.5000) [4 per cell]  8 In 3.32